# VSbWI2 (GGA-PBE, optimized geometry)
data_VSbWI2
_chemical_formula_sum 'V1 Sb1 W1 I2'
_cell_length_a 5.563
_cell_length_b 5.563
_cell_length_c 5.252
_cell_angle_alpha 90.00
_cell_angle_beta 90.00
_cell_angle_gamma 90.00
_space_group_name_H-M_alt 'P 4/m m m'
_space_group_IT_number 123
_space_group_name_Hall '-P 4 2'
loop_
_atom_site_label
_atom_site_type_symbol
_atom_site_fract_x
_atom_site_fract_y
_atom_site_fract_z
_atom_site_occupancy
V1 V 0.000 0.000 0.000 1
Sb1 Sb 0.500 0.500 0.000 1
W1 W 0.500 0.500 0.500 1
I1 I 0.000 0.500 0.500 1
# Crystal system: tetragonal
# ΔE to the lowest computed polymorph: 0.000 eV/atom
# Formation energy (no corrections): 1.237 eV/atom

***

# Rb3SiC (GGA-PBE, optimized geometry)
data_Rb3SiC
_chemical_formula_sum 'Rb3 Si1 C1'
_cell_length_a 5.866
_cell_length_b 5.866
_cell_length_c 5.866
_cell_angle_alpha 90.00
_cell_angle_beta 90.00
_cell_angle_gamma 90.00
_space_group_name_H-M_alt 'P m -3 m'
_space_group_IT_number 221
_space_group_name_Hall '-P 4 2 3'
loop_
_atom_site_label
_atom_site_type_symbol
_atom_site_fract_x
_atom_site_fract_y
_atom_site_fract_z
_atom_site_occupancy
Rb1 Rb 0.000 0.000 0.500 1
Si1 Si 0.500 0.500 0.500 1
C1 C 0.000 0.000 0.000 1
# Crystal system: cubic
# ΔE to the lowest computed polymorph: 0.000 eV/atom
# Formation energy (no corrections): 1.460 eV/atom

***

# LiWC2 (GGA-PBE, optimized geometry)
data_LiWC2
_chemical_formula_sum 'Li4 W4 C8'
_cell_length_a 5.017
_cell_length_b 5.017
_cell_length_c 9.326
_cell_angle_alpha 90.00
_cell_angle_beta 90.00
_cell_angle_gamma 90.00
_space_group_name_H-M_alt 'I -4 2 d'
_space_group_IT_number 122
_space_group_name_Hall 'I -4 2bw'
loop_
_atom_site_label
_atom_site_type_symbol
_atom_site_fract_x
_atom_site_fract_y
_atom_site_fract_z
_atom_site_occupancy
Li1 Li 0.000 0.000 0.000 1
W1 W 0.000 0.000 0.500 1
C1 C 0.188 0.250 0.625 1
# Crystal system: tetragonal
# ΔE to the lowest computed polymorph: 0.000 eV/atom

***

# Ce2DySb3 (GGA-PBE, optimized geometry)
data_Ce2DySb3
_chemical_formula_sum 'Ce4 Dy2 Sb6'
_cell_length_a 4.461
_cell_length_b 6.314
_cell_length_c 13.382
_cell_angle_alpha 90.00
_cell_angle_beta 90.00
_cell_angle_gamma 90.00
_space_group_name_H-M_alt 'I m m m'
_space_group_IT_number 71
_space_group_name_Hall '-I 2 2'
loop_
_atom_site_label
_atom_site_type_symbol
_atom_site_fract_x
_atom_site_fract_y
_atom_site_fract_z
_atom_site_occupancy
Ce1 Ce 0.000 0.000 0.168 1
Dy1 Dy 0.000 0.000 0.500 1
Sb1 Sb 0.000 0.500 0.163 1
Sb2 Sb 0.000 0.500 0.500 1
# Crystal system: orthorhombic
# ΔE to the lowest computed polymorph: 0.000 eV/atom
# Formation energy (no corrections): -1.069 eV/atom

***

# CrSnMo2N (GGA-PBE, optimized geometry)
data_CrSnMo2N
_chemical_formula_sum 'Cr1 Sn1 Mo2 N1'
_cell_length_a 4.209
_cell_length_b 4.209
_cell_length_c 3.985
_cell_angle_alpha 90.00
_cell_angle_beta 90.00
_cell_angle_gamma 90.00
_space_group_name_H-M_alt 'P 4/m m m'
_space_group_IT_number 123
_space_group_name_Hall '-P 4 2'
loop_
_atom_site_label
_atom_site_type_symbol
_atom_site_fract_x
_atom_site_fract_y
_atom_site_fract_z
_atom_site_occupancy
Cr1 Cr 0.000 0.000 0.000 1
Sn1 Sn 0.500 0.500 0.000 1
Mo1 Mo 0.000 0.500 0.500 1
N1 N 0.000 0.000 0.500 1
# Crystal system: tetragonal
# Formation energy (no corrections): -0.095 eV/atom

***

# Tl2ReHgH (GGA-PBE, optimized geometry)
data_Tl2ReHgH
_chemical_formula_sum 'Tl2 Re1 Hg1 H1'
_cell_length_a 5.574
_cell_length_b 5.574
_cell_length_c 3.529
_cell_angle_alpha 90.00
_cell_angle_beta 90.00
_cell_angle_gamma 90.00
_space_group_name_H-M_alt 'P 4/m m m'
_space_group_IT_number 123
_space_group_name_Hall '-P 4 2'
loop_
_atom_site_label
_atom_site_type_symbol
_atom_site_fract_x
_atom_site_fract_y
_atom_site_fract_z
_atom_site_occupancy
Tl1 Tl 0.000 0.500 0.000 1
Re1 Re 0.000 0.000 0.000 1
Hg1 Hg 0.500 0.500 0.500 1
H1 H 0.000 0.000 0.500 1
# E_tot: -17.542 eV per cell
# Crystal system: tetragonal

***

Number 2 is which compound? Rb3SiC